# PBE+U CaLaTiCrO6, relaxed
data_CaLaTiCrO6
_cell_length_a 5.490
_cell_length_b 5.554
_cell_length_c 9.529
_cell_angle_alpha 90.00
_cell_angle_beta 125.15
_cell_angle_gamma 90.00
_space_group_name_H-M_alt 'P 1 c 1'
_space_group_IT_number 7
_space_group_name_Hall 'P -2yc'
loop_
_atom_site_label
_atom_site_type_symbol
_atom_site_fract_x
_atom_site_fract_y
_atom_site_fract_z
Ca1 Ca 0.000 0.208 0.000
La1 La 0.515 0.284 0.499
Ti1 Ti 0.758 0.249 0.248
Cr1 Cr 0.259 0.250 0.750
O1 O 0.005 0.457 0.209
O2 O 0.078 0.230 0.497
O3 O 0.432 0.267 0.002
O4 O 0.514 0.038 0.287
O5 O 0.594 0.464 0.792
O6 O 0.931 0.034 0.710
# Volume   237.6 Å³ per cell
# E   -163.42 eV per cell
# Size of the total moment   6.000 μB/cell
# N(E_F)   0.0 states/eV per cell